Here is DyZnCoGe2 after structural relaxation from Alexandria. Energies are from GGA-PBE.

abc: 5.6578 5.4886 5.5281
angles: 90.00 90.00 90.00
Positions (direct):
Dy 0.2249 0.2500 0.5000
Dy 0.7751 0.7500 0.5000
Zn 0.6314 0.7500 0.0000
Zn 0.3686 0.2500 0.0000
Co 0.0000 0.0000 0.0000
Co 0.0000 0.5000 0.0000
Ge 0.7469 0.2500 0.7411
Ge 0.7469 0.2500 0.2589
Ge 0.2531 0.7500 0.7411
Ge 0.2531 0.7500 0.2589

* mass density: 8.36 g/cm³
* total DFT energy (no corrections): -4.876 eV/atom
* energy of formation: -433 meV per atom
* space group: Pmma, No. 51
* DOS at the Fermi energy: 0.323 states/eV per atom

---

Here is P2Os after structural relaxation from Alexandria. Energies are from GGA-PBE.

abc: 5.2922 2.9568 7.0996
angles: 90.00 120.49 90.00
Positions (direct):
P 0.7610 0.0000 0.8915
P 0.2390 0.0000 0.1085
P 0.7610 0.5000 0.3915
P 0.2390 0.5000 0.6085
Os 0.5000 0.0000 0.5000
Os 0.5000 0.5000 0.0000

* mass density: 8.75 g/cm³
* total DFT energy (no corrections): -7.589 eV/atom
* energy of formation: -239 meV per atom
* space group: C2/m, No. 12
* DOS at the Fermi energy: 0.034 states/eV per atom

---

Here is AgOs2O6 after structural relaxation from Alexandria. Energies are from GGA-PBE.

abc: 7.2144 7.2144 7.2144
angles: 119.80 119.78 90.37
Positions (direct):
Ag 0.4515 0.8949 0.9433
Ag 0.5485 0.4918 0.4433
Os 0.9976 0.5109 0.0133
Os 0.0024 0.0157 0.5133
Os 0.5000 0.0079 0.5079
Os 0.0000 0.0079 0.0079
O 0.3213 0.0687 0.2474
O 0.9426 0.7022 0.2596
O 0.9420 0.0663 0.2566
O 0.3255 0.6809 0.2581
O 0.9228 0.6809 0.8554
O 0.3096 0.0663 0.6243
O 0.6787 0.9262 0.7474
O 0.0574 0.3170 0.7596
O 0.0772 0.9326 0.7581
O 0.6904 0.3147 0.7566
O 0.0580 0.3147 0.1243
O 0.6745 0.9326 0.3554

* mass density: 7.29 g/cm³
* total DFT energy (no corrections): -6.884 eV/atom
* space group: Ima2, No. 46
* raw formation energy: -0.77 eV per atom
* DOS at the Fermi energy: 0.531 states/eV per atom

---

Here is LiMg6Pt5 after structural relaxation from Alexandria. Energies are from GGA-PBE.

abc: 4.6114 6.0333 7.3350
angles: 90.00 71.68 90.00
Positions (direct):
Mg 0.8283 0.7471 0.3435
Mg 0.8283 0.2529 0.3435
Mg 0.5000 0.2555 0.0000
Mg 0.5000 0.7445 0.0000
Mg 0.1717 0.7471 0.6565
Mg 0.1717 0.2529 0.6565
Pt 0.6632 0.5000 0.6737
Pt 0.3398 0.0000 0.3204
Pt 0.0000 0.5000 0.0000
Pt 0.6602 0.0000 0.6796
Pt 0.3368 0.5000 0.3263
Li 0.0000 0.0000 0.0000

* mass density: 9.67 g/cm³
* total DFT energy (no corrections): -4.253 eV/atom
* energy of formation: -779 meV per atom
* space group: Cmmm, No. 65
* DOS at the Fermi energy: 0.353 states/eV per atom

---

Here is SmHo3Er6 after structural relaxation from Alexandria. Energies are from GGA-PBE.

abc: 9.7276 9.7276 6.8244
angles: 44.54 44.54 60.00
Positions (direct):
Sm 0.8956 0.8956 0.3131
Ho 0.3934 0.3934 0.8198
Ho 0.6372 0.6372 0.0885
Ho 0.1407 0.1407 0.5780
Er 0.9094 0.5688 0.2844
Er 0.2375 0.9094 0.2844
Er 0.5688 0.2375 0.2844
Er 0.0714 0.4102 0.7825
Er 0.7359 0.0714 0.7825
Er 0.4102 0.7359 0.7825

* mass density: 8.62 g/cm³
* total DFT energy (no corrections): -4.294 eV/atom
* energy of formation: 289 meV per atom
* space group: R3, No. 146
* E above lowest polymorph: 140 meV per atom
* DOS at the Fermi energy: 1.973 states/eV per atom

---

Here is Nb6TcMo5 after structural relaxation from Alexandria. Energies are from GGA-PBE.

abc: 4.5721 6.4469 7.8956
angles: 114.10 106.83 90.00
Positions (direct):
Mo 0.6662 0.1662 0.3323
Mo 0.3334 0.3334 0.6668
Mo 0.0000 0.5000 0.0000
Mo 0.6666 0.6666 0.3332
Mo 0.3338 0.8338 0.6677
Nb 0.8340 0.5845 0.6681
Nb 0.8340 0.0836 0.6681
Nb 0.5000 0.7509 0.0000
Nb 0.5000 0.2491 0.0000
Nb 0.1660 0.9164 0.3319
Nb 0.1660 0.4155 0.3319
Tc 0.0000 0.0000 0.0000

* mass density: 9.36 g/cm³
* total DFT energy (no corrections): -10.591 eV/atom
* energy of formation: -179 meV per atom
* space group: Immm, No. 71
* DOS at the Fermi energy: 0.524 states/eV per atom

---

Here is Nd2InSb after structural relaxation from Alexandria. Energies are from GGA-PBE.

abc: 4.3375 4.3375 8.4826
angles: 75.19 75.19 60.00
Positions (direct):
Sb 0.0000 0.0000 0.0000
Nd 0.2562 0.2562 0.2313
Nd 0.7438 0.7438 0.7687
In 0.5000 0.5000 0.5000

* mass density: 6.60 g/cm³
* total DFT energy (no corrections): -4.808 eV/atom
* space group: R-3m, No. 166
* E above lowest polymorph: 99 meV per atom
* raw formation energy: -0.71 eV per atom
* DOS at the Fermi energy: 0.460 states/eV per atom

---

Here is ZrMnAl2 after structural relaxation from Alexandria. Energies are from GGA-PBE.

abc: 4.9115 4.9115 4.9115
angles: 130.56 130.56 72.51
Each line ends with the local moment (μB).
Positions (direct):
Mn 0.2500 0.7500 0.5000  2.67
Al 0.0000 0.0000 0.0000  -0.03
Al 0.5000 0.5000 0.0000  -0.03
Zr 0.7500 0.2500 0.5000  -0.40

* mass density: 4.97 g/cm³
* total DFT energy (no corrections): -6.493 eV/atom
* energy of formation: -193 meV per atom
* space group: I4/mmm, No. 139
* DOS at the Fermi energy: 0.771 states/eV per atom

---

Here is Al2CuAu2 after structural relaxation from Alexandria. Energies are from GGA-PBE.

abc: 3.8379 3.8379 6.8185
angles: 73.65 73.65 90.00
Positions (direct):
Au 0.7500 0.2500 0.5000
Au 0.2500 0.7500 0.5000
Al 0.4010 0.4010 0.1981
Al 0.5990 0.5990 0.8019
Cu 0.0000 0.0000 0.0000

* mass density: 9.22 g/cm³
* total DFT energy (no corrections): -3.544 eV/atom
* energy of formation: 83 meV per atom
* space group: I4/mmm, No. 139
* E above lowest polymorph: 364 meV per atom
* DOS at the Fermi energy: 0.299 states/eV per atom

---

Here is Ti3CdGa after structural relaxation from Alexandria. Energies are from GGA-PBE.

abc: 4.7339 4.7339 4.7339
angles: 90.00 90.00 90.00
Positions (direct):
Ti 0.0000 0.5000 0.0000
Ti 0.0000 0.0000 0.5000
Ti 0.5000 0.0000 0.0000
Ga 0.0000 0.0000 0.0000
Cd 0.5000 0.5000 0.5000

* mass density: 5.10 g/cm³
* total DFT energy (no corrections): -5.054 eV/atom
* energy of formation: 472 meV per atom
* space group: Pm-3m, No. 221
* E above lowest polymorph: 0 meV per atom
* DOS at the Fermi energy: 0.833 states/eV per atom

---

Here is Mg2SnHRh after structural relaxation from Alexandria. Energies are from GGA-PBE.

abc: 4.4470 4.4470 3.8146
angles: 90.00 90.00 90.00
Positions (direct):
H 0.0000 0.0000 0.0000
Mg 0.0000 0.5000 0.0000
Mg 0.5000 0.0000 0.0000
Rh 0.0000 0.0000 0.5000
Sn 0.5000 0.5000 0.5000

* mass density: 5.97 g/cm³
* total DFT energy (no corrections): -3.846 eV/atom
* space group: P4/mmm, No. 123
* DOS at the Fermi energy: 0.277 states/eV per atom

---

Here is Y3B2Ir7 after structural relaxation from Alexandria. Energies are from GGA-PBE.

abc: 5.4217 5.4217 8.1747
angles: 70.63 70.63 60.00
Positions (direct):
Y 0.0000 0.0000 0.0000
Y 0.8564 0.8564 0.4309
Y 0.1436 0.1436 0.5691
B 0.6650 0.6650 0.0049
B 0.3350 0.3350 0.9951
Ir 0.5000 0.5000 0.5000
Ir 0.9305 0.4308 0.2080
Ir 0.4308 0.9305 0.2080
Ir 0.4308 0.4308 0.2080
Ir 0.0695 0.5692 0.7920
Ir 0.5692 0.5692 0.7920
Ir 0.5692 0.0695 0.7920

* mass density: 14.11 g/cm³
* total DFT energy (no corrections): -8.621 eV/atom
* energy of formation: -723 meV per atom
* space group: R-3m, No. 166
* DOS at the Fermi energy: 0.881 states/eV per atom

---

Here is K3Li5I12 after structural relaxation from Alexandria. Energies are from GGA-PBE.

abc: 15.9944 15.9944 15.9944
angles: 109.47 109.47 109.47
Each line ends with the local moment (μB).
Positions (direct):
K 0.7500 0.3750 0.1250  0.00
K 0.8750 0.7500 0.1250  0.00
K 0.3750 0.7500 0.6250  0.00
K 0.2500 0.1250 0.3750  0.00
K 0.8750 0.1250 0.2500  0.00
K 0.3750 0.6250 0.2500  0.00
K 0.6250 0.3750 0.7500  0.00
K 0.1250 0.8750 0.7500  0.00
K 0.7500 0.8750 0.6250  0.00
K 0.6250 0.2500 0.3750  0.00
K 0.1250 0.2500 0.8750  0.00
K 0.2500 0.6250 0.8750  0.00
Li 0.1250 0.3750 0.2500  0.00
Li 0.0000 0.5000 0.0000  0.00
Li 0.0000 0.0000 0.0000  0.00
Li 0.3750 0.2500 0.1250  0.00
Li 0.5000 0.0000 0.5000  0.00
Li 0.5000 0.5000 0.0000  0.00
Li 0.1250 0.7500 0.3750  0.00
Li 0.7500 0.1250 0.8750  0.00
Li 0.7500 0.6250 0.3750  0.00
Li 0.3750 0.1250 0.7500  0.00
Li 0.6250 0.8750 0.2500  0.00
Li 0.5000 0.5000 0.5000  0.00
Li 0.5000 0.0000 0.0000  0.00
Li 0.0000 0.0000 0.5000  0.00
Li 0.2500 0.3750 0.6250  0.00
Li 0.2500 0.8750 0.1250  0.00
Li 0.0000 0.5000 0.5000  0.00
Li 0.8750 0.2500 0.6250  0.00
Li 0.6250 0.7500 0.8750  0.00
Li 0.8750 0.6250 0.7500  0.00
I 0.7076 0.0979 0.0216  0.23
I 0.3140 0.5216 0.4237  0.23
I 0.9784 0.4021 0.2924  0.23
I 0.5216 0.2076 0.0979  0.23
I 0.6097 0.7076 0.6860  0.23
I 0.9784 0.5763 0.1860  0.23
I 0.3140 0.7924 0.3903  0.23
I 0.0763 0.8903 0.0979  0.23
I 0.5763 0.9784 0.6860  0.23
I 0.7076 0.6097 0.1860  0.23
I 0.7924 0.4784 0.4021  0.23
I 0.8140 0.9237 0.0216  0.23
I 0.0979 0.7076 0.5216  0.23
I 0.4021 0.4237 0.1097  0.23
I 0.1097 0.9237 0.4021  0.23
I 0.3903 0.0979 0.5763  0.23
I 0.1097 0.1860 0.2076  0.23
I 0.4784 0.6860 0.0763  0.23
I 0.8140 0.8903 0.2924  0.23
I 0.0979 0.3903 0.0763  0.23
I 0.4021 0.9784 0.7924  0.23
I 0.5763 0.5979 0.3903  0.23
I 0.9237 0.8140 0.5216  0.23
I 0.7924 0.3140 0.8903  0.23
I 0.4237 0.4021 0.6097  0.23
I 0.0763 0.1860 0.4784  0.23
I 0.2076 0.6860 0.1097  0.23
I 0.1860 0.1097 0.7076  0.23
I 0.5979 0.0216 0.2076  0.23
I 0.9021 0.6097 0.9237  0.23
I 0.5216 0.3140 0.9237  0.23
I 0.6097 0.9021 0.4237  0.23
I 0.8903 0.8140 0.7924  0.23
I 0.8903 0.0763 0.5979  0.23
I 0.9021 0.2924 0.4784  0.23
I 0.1860 0.0763 0.9784  0.23
I 0.5979 0.5763 0.8903  0.23
I 0.4237 0.0216 0.3140  0.23
I 0.2924 0.3903 0.8140  0.23
I 0.2076 0.5216 0.5979  0.23
I 0.9237 0.1097 0.9021  0.23
I 0.6860 0.2076 0.6097  0.23
I 0.4784 0.7924 0.9021  0.23
I 0.0216 0.4237 0.8140  0.23
I 0.3903 0.2924 0.3140  0.23
I 0.0216 0.5979 0.7076  0.23
I 0.6860 0.4784 0.5763  0.23
I 0.2924 0.9021 0.9784  0.23

* mass density: 3.53 g/cm³
* total DFT energy (no corrections): -2.452 eV/atom
* space group: Ia-3d, No. 230
* raw formation energy: -0.88 eV per atom
* DOS at the Fermi energy: 0.858 states/eV per atom

---

Here is CaZnGaCu3 after structural relaxation from Alexandria. Energies are from GGA-PBE.

abc: 5.3454 6.2861 6.9733
angles: 116.79 90.00 90.00
Positions (direct):
Ca 0.7500 0.2888 0.5775
Ca 0.2500 0.7112 0.4225
Zn 0.2500 0.3539 0.7079
Zn 0.7500 0.6461 0.2921
Ga 0.2500 0.9420 0.8841
Ga 0.7500 0.0580 0.1159
Cu 0.2500 0.1467 0.2934
Cu 0.0000 0.3061 0.0000
Cu 0.5000 0.6939 0.0000
Cu 0.5000 0.3061 0.0000
Cu 0.0000 0.6939 0.0000
Cu 0.7500 0.8533 0.7066

* mass density: 5.81 g/cm³
* total DFT energy (no corrections): -3.132 eV/atom
* energy of formation: -33 meV per atom
* space group: Cmcm, No. 63
* DOS at the Fermi energy: 0.561 states/eV per atom

---

Here is IrW2BrCl after structural relaxation from Alexandria. Energies are from GGA-PBE.

abc: 4.5350 4.4467 4.5350
angles: 90.00 90.00 90.00
Positions (direct):
Ir 0.0000 0.5000 0.0000
Br 0.5000 0.5000 0.5000
W 0.0000 0.0000 0.5000
W 0.5000 0.0000 0.0000
Cl 0.0000 0.0000 0.0000

* mass density: 12.26 g/cm³
* total DFT energy (no corrections): -5.601 eV/atom
* space group: P4/mmm, No. 123
* raw formation energy: 2.06 eV per atom
* DOS at the Fermi energy: 1.018 states/eV per atom

---

Here is TaZnCr2Ag after structural relaxation from Alexandria. Energies are from GGA-PBE.

abc: 4.3642 4.6864 4.3642
angles: 90.00 90.00 90.00
Positions (direct):
Cr 0.0000 0.0000 0.5000
Cr 0.5000 0.0000 0.0000
Zn 0.0000 0.0000 0.0000
Ag 0.5000 0.5000 0.5000
Ta 0.0000 0.5000 0.0000

* mass density: 8.52 g/cm³
* total DFT energy (no corrections): -5.429 eV/atom
* energy of formation: 1616 meV per atom
* space group: P4/mmm, No. 123
* DOS at the Fermi energy: 0.832 states/eV per atom

---

Here is Tb4Y8Tm3 after structural relaxation from Alexandria. Energies are from GGA-PBE.

abc: 6.7280 9.2658 9.2658
angles: 87.44 111.37 111.37
Each line ends with the local moment (μB).
Positions (direct):
Tb 0.5000 0.0000 0.0000  0.14
Tb 0.0000 0.5000 0.0000  0.01
Tb 0.0000 0.0000 0.0000  0.05
Tb 0.0000 0.0000 0.5000  0.01
Y 0.5173 0.2648 0.2648  0.02
Y 0.0000 0.6420 0.3580  0.01
Y 0.0016 0.2691 0.2691  0.02
Y 0.5000 0.7483 0.2517  0.06
Y 0.5000 0.2517 0.7483  0.06
Y 0.9984 0.7309 0.7309  0.02
Y 0.0000 0.3580 0.6420  0.01
Y 0.4827 0.7352 0.7352  0.02
Tm 0.5000 0.5000 0.0000  0.01
Tm 0.5000 0.0000 0.5000  0.01
Tm 0.5000 0.5000 0.5000  0.04

* mass density: 6.18 g/cm³
* total DFT energy (no corrections): -5.179 eV/atom
* energy of formation: 397 meV per atom
* space group: C2/m, No. 12
* E above lowest polymorph: 248 meV per atom
* DOS at the Fermi energy: 2.030 states/eV per atom

---

Here is ZnBRh2O after structural relaxation from Alexandria. Energies are from GGA-PBE.

abc: 4.0364 4.0756 4.0364
angles: 90.00 90.00 90.00
Each line ends with the local moment (μB).
Positions (direct):
Zn 0.0000 0.5000 0.0000  -0.01
B 0.0000 0.0000 0.0000  -0.03
Rh 0.0000 0.0000 0.5000  0.49
Rh 0.5000 0.0000 0.0000  0.44
O 0.5000 0.5000 0.5000  0.46

* mass density: 7.45 g/cm³
* total DFT energy (no corrections): -5.094 eV/atom
* space group: P4/mmm, No. 123
* raw formation energy: 0.43 eV per atom
* DOS at the Fermi energy: 0.615 states/eV per atom

---

Here is Pm2NdYH after structural relaxation from Alexandria. Energies are from GGA-PBE.

abc: 5.0898 5.1261 5.1261
angles: 90.00 90.00 90.00
Positions (direct):
Pm 0.0000 0.0000 0.5000
Pm 0.0000 0.5000 0.0000
Nd 0.5000 0.5000 0.5000
Y 0.5000 0.0000 0.0000
H 0.0000 0.0000 0.0000

* mass density: 6.51 g/cm³
* total DFT energy (no corrections): -4.993 eV/atom
* space group: P4/mmm, No. 123
* DOS at the Fermi energy: 0.877 states/eV per atom

---

Here is SrPb2S after structural relaxation from Alexandria. Energies are from GGA-PBE.

abc: 9.8068 9.8068 7.5046
angles: 49.20 49.20 90.00
Positions (direct):
Pb 0.5351 0.1250 0.2500
Pb 0.2149 0.6250 0.2500
Pb 0.3750 0.4649 0.7500
Pb 0.8750 0.7851 0.7500
Sr 0.0000 0.0000 0.0000
Sr 0.7500 0.2500 0.5000
S 0.5000 0.5000 0.0000
S 0.2500 0.7500 0.5000

* mass density: 6.43 g/cm³
* total DFT energy (no corrections): -3.752 eV/atom
* space group: I-42d, No. 122
* raw formation energy: -0.45 eV per atom
* DOS at the Fermi energy: 0.434 states/eV per atom